VASP calculation (PBE) on a relaxed structure of HfSiSe3.

Its spin magnetization is 0.000 μB per formula unit. Its space group is Pm-3m, No. 221. For the density of states at the Fermi level, the calculation gives 0.66 states/eV per atom. As for the crystal system: cubic. As for the uncorrected formation energy: -0.057 eV per atom.

The structure in POSCAR format:
```
HfSiSe3
1.0
-4.742 -1.900 0.642
1.235 -4.066 -2.908
1.580 -2.524 4.200
Hf Se Si
1 3 1
direct
0.000 0.000 0.000
0.000 0.000 0.500
0.500 0.000 0.000
0.000 0.500 0.000
0.500 0.500 0.500
```

***

VASP calculation (PBE) on a relaxed structure of DyTl2Pt.

Its spin magnetization is 0.000 μB per formula unit. Its space group is R-3m, No. 166. For the density of states at the Fermi level, the calculation gives 0.66 states/eV per atom. The calculation puts the energy at -14.81 eV for the cell shown. As for the crystal system: trigonal.

The structure in POSCAR format:
```
DyTl2Pt
1.0
-2.740 -1.312 1.965
0.549 -0.988 3.436
-3.005 8.537 4.839
Tl Pt Dy
2 1 1
direct
0.103 0.103 0.690
0.897 0.897 0.310
0.500 0.500 0.500
0.000 0.000 0.000
```

***

VASP calculation (PBE) on a relaxed structure of AsPtS2N.

Its spin magnetization is 0.088 μB per formula unit. Its space group is P4/mmm, No. 123. For the density of states at the Fermi level, the calculation gives 0.67 states/eV per atom. As for the crystal system: tetragonal. As for the uncorrected formation energy: 0.797 eV per atom.

The structure in POSCAR format:
```
AsPtS2N
1.0
-1.379 4.710 -0.499
-0.642 0.329 4.880
3.495 1.064 0.388
S N Pt As
2 1 1 1
direct
0.500 0.000 0.000
0.000 0.500 0.000
0.000 0.000 0.500
0.000 0.000 0.000
0.500 0.500 0.500
```

***

VASP calculation (PBE) on a relaxed structure of AgAsH2.

Its spin magnetization is 0.000 μB per formula unit. Its space group is I-42d, No. 122. For the density of states at the Fermi level, the calculation gives 0.15 states/eV per atom. The calculation puts the energy at -23.44 eV for the cell shown. As for the crystal system: tetragonal.

The structure in POSCAR format:
```
AgAsH2
1.0
4.789 0.000 0.000
0.000 4.789 0.000
2.395 2.395 4.305
H Ag As
4 2 2
direct
0.104 0.625 0.250
0.875 0.896 0.750
0.646 0.125 0.250
0.375 0.354 0.750
0.000 0.000 0.000
0.750 0.250 0.500
0.500 0.500 0.000
0.250 0.750 0.500
```

***

> Which value of spin magnetization does entry 3 give?

0.088 μB per formula unit